## PuFePb2O6 (PBE with a Hubbard U)

Data for a relaxed PuFePb2O6 crystal.

Summary:
Volume   14.35 A^3/atom
Raw total energy   -7.41 eV per atom

abc: 5.806 5.806 4.256
angles: 90.00 90.00 90.00
Space group P4/mmm (No. 123)
Unique sites:
1 Pu 0.000 0.000 0.000 [1 per cell]
2 Fe 0.500 0.500 0.000 [1 per cell]
3 Pb 0.000 0.500 0.500 [2 per cell]
4 O 0.000 0.000 0.500 [1 per cell]
5 O 0.255 0.255 0.000 [4 per cell]
6 O 0.500 0.500 0.500 [1 per cell]